No. 1
Material: DyZnSe2
Method: DFT, PBE
State: optimized geometry

## Properties
Its total magnetic moment is 0.00 μB per formula unit. The calculation puts the energy relative to the elements, uncorrected at -1.02 eV/atom. For the total energy, the calculation gives -4.228 eV per atom.

a b c (Å): 4.1291 4.1291 24.3594
angles (deg): 90.00 90.00 120.00
With the nearest neighbours (Å) after each atom.
Space group R-3m (No. 166, hexagonal axes)
One atom of each set of equivalent atoms:
Dy 0.0000 0.0000 0.0000 (multiplicity 3)  6 Se 2.87
Zn 0.0000 0.0000 0.5000 (multiplicity 3)  2 Se 2.47
Se 0.0000 0.0000 0.3988 (multiplicity 6)  1 Zn 2.47


No. 2
Material: Dy3ZrSe6
Method: DFT, PBE
State: optimized geometry

## Properties
Its total magnetic moment is 1.03 μB per formula unit. The calculation puts the energy relative to the elements, uncorrected at -1.65 eV/atom. For the total energy, the calculation gives -5.976 eV per atom.

a b c (Å): 11.8451 11.8451 14.0237
angles (deg): 90.00 90.00 120.00
With the nearest neighbours (Å) after each atom.
Space group R-3 (No. 148, hexagonal axes)
One atom of each set of equivalent atoms:
Dy 0.0564 0.2741 0.1966 (multiplicity 18)  6 Se 2.81-2.94
Zr 0.0000 0.0000 0.0000 (multiplicity 3)  6 Se 2.71
Zr 0.0000 0.0000 0.5000 (multiplicity 3)  6 Se 2.75
Se 0.0190 0.2042 0.3940 (multiplicity 18)  1 Zr 2.75, 3 Dy 2.86-2.94
Se 0.0340 0.1961 0.8823 (multiplicity 18)  1 Zr 2.71, 3 Dy 2.81-2.94


No. 3
Material: Dy2ZrSe5
Method: DFT, PBE
State: optimized geometry

## Properties
Its total magnetic moment is 0.00 μB per formula unit. The calculation puts the energy relative to the elements, uncorrected at -1.59 eV/atom. For the total energy, the calculation gives -5.985 eV per atom.

a b c (Å): 5.5095 13.5694 13.3291
angles (deg): 90.00 90.00 90.00
With the nearest neighbours (Å) after each atom.
Space group Cmcm (No. 63)
One atom of each set of equivalent atoms:
Dy 0.0000 0.1489 0.0594 (multiplicity 8)  6 Se 2.80-2.96
Zr 0.0000 0.1941 0.7500 (multiplicity 4)  6 Se 2.60-2.82
Se 0.0000 0.0478 0.6235 (multiplicity 8)  1 Zr 2.60, 2 Dy 2.80
Se 0.0000 0.2613 0.2500 (multiplicity 4)  2 Zr 2.82, 2 Dy 2.96
Se 0.0000 0.3153 0.5809 (multiplicity 8)  1 Zr 2.79, 3 Dy 2.81-2.93


No. 4
Material: DyZr2Se4
Method: DFT, PBE
State: optimized geometry

## Properties
Its total magnetic moment is 0.00 μB per formula unit. The calculation puts the energy relative to the elements, uncorrected at -1.40 eV/atom. For the total energy, the calculation gives -6.495 eV per atom.

a b c (Å): 3.7688 12.5616 13.8173
angles (deg): 90.00 90.00 90.00
With the nearest neighbours (Å) after each atom.
Space group Cmcm (No. 63)
One atom of each set of equivalent atoms:
Dy 0.0000 0.1050 0.2500 (multiplicity 4)  6 Se 2.82-2.88
Zr 0.0000 0.3506 0.0587 (multiplicity 8)  6 Se 2.69-2.86
Se 0.0000 0.0000 0.0000 (multiplicity 4)  4 Zr 2.78
Se 0.0000 0.2869 0.6271 (multiplicity 8)  3 Zr 2.69-2.73, 2 Dy 2.88
Se 0.0000 0.4383 0.2500 (multiplicity 4)  2 Dy 2.82, 2 Zr 2.86


No. 5
Material: Dy2Zr2Se7
Method: DFT, PBE
State: optimized geometry

## Properties
Its total magnetic moment is 0.00 μB per formula unit. The calculation puts the energy relative to the elements, uncorrected at -1.48 eV/atom. For the total energy, the calculation gives -6.087 eV per atom.

a b c (Å): 3.9354 14.4623 8.8365
angles (deg): 90.00 90.00 90.00
With the nearest neighbours (Å) after each atom.
Space group Imm2 (No. 44)
One atom of each set of equivalent atoms:
Dy 0.0000 0.2289 0.0000 (multiplicity 4)  7 Se 2.79-3.12
Zr 0.0000 0.0000 0.2480 (multiplicity 2)  7 Se 2.76-2.88
Zr 0.0000 0.5000 0.1914 (multiplicity 2)  8 Se 2.75-2.92
Se 0.0000 0.0000 0.9222 (multiplicity 2)  3 Zr 2.83-2.88
Se 0.0000 0.1041 0.5164 (multiplicity 4)  3 Zr 2.81-2.92, 1 Se 3.01, 2 Dy 3.12
Se 0.0000 0.3196 0.2914 (multiplicity 4)  1 Zr 2.75, 3 Dy 2.79-2.89
Se 0.0000 0.3684 0.7061 (multiplicity 4)  2 Zr 2.76, 2 Dy 3.03


No. 6
Material: DyZr2Se6
Method: DFT, PBE
State: optimized geometry

## Properties
Its total magnetic moment is 0.00 μB per formula unit. The calculation puts the energy relative to the elements, uncorrected at -1.23 eV/atom. For the total energy, the calculation gives -5.966 eV per atom.

a b c (Å): 6.5350 6.5350 11.9663
angles (deg): 90.00 90.00 90.00
With the nearest neighbours (Å) after each atom.
Space group P4_2/mnm (No. 136)
One atom of each set of equivalent atoms:
Dy 0.0000 0.0000 0.0000 (multiplicity 2)  6 Se 2.83-2.85
Zr 0.0000 0.0000 0.3352 (multiplicity 4)  6 Se 2.67-2.73
Se 0.1941 0.1941 0.5000 (multiplicity 4)  2 Zr 2.67, 1 Dy 2.83
Se 0.2054 0.2054 0.1772 (multiplicity 8)  2 Zr 2.68-2.73, 1 Dy 2.85


No. 7
Material: DyZrSe3
Method: DFT, PBE
State: optimized geometry

## Properties
Its total magnetic moment is 0.00 μB per formula unit. The calculation puts the energy relative to the elements, uncorrected at -1.49 eV/atom. For the total energy, the calculation gives -6.213 eV per atom.

a b c (Å): 9.2809 3.9336 13.6074
angles (deg): 90.00 90.00 90.00
With the nearest neighbours (Å) after each atom.
Space group Pnma (No. 62)
One atom of each set of equivalent atoms:
Dy 0.0039 0.2500 0.1525 (multiplicity 4)  6 Se 2.81-3.01
Zr 0.1590 0.7500 0.4623 (multiplicity 4)  6 Se 2.67-2.77
Se 0.0008 0.7500 0.6264 (multiplicity 4)  3 Zr 2.67-2.74
Se 0.1599 0.7500 0.0355 (multiplicity 4)  2 Zr 2.77, 3 Dy 2.92-2.98
Se 0.1953 0.2500 0.7907 (multiplicity 4)  1 Zr 2.70, 2 Dy 2.81


No. 8
Material: DySi
Method: DFT, PBE
State: optimized geometry

## Properties
Its total magnetic moment is 0.00 μB per formula unit. The calculation puts the energy relative to the elements, uncorrected at -0.79 eV/atom. For the total energy, the calculation gives -5.802 eV per atom.

a b c (Å): 4.0390 4.0390 21.2451
angles (deg): 90.00 90.00 90.00
With the nearest neighbours (Å) after each atom.
Space group I4_1/amd (No. 141, origin choice 2)
One atom of each set of equivalent atoms:
Dy 0.0000 0.2500 0.0707 (multiplicity 8)  7 Si 2.94-3.06
Si 0.0000 0.2500 0.2126 (multiplicity 8)  2 Si 2.57


No. 9
Material: DySi
Method: DFT, PBE
State: optimized geometry

## Properties
Its total magnetic moment is 0.00 μB per formula unit. The calculation puts the energy relative to the elements, uncorrected at -0.81 eV/atom. For the total energy, the calculation gives -5.820 eV per atom.

a b c (Å): 4.2868 12.8228 6.3112
angles (deg): 90.00 90.00 90.00
With the nearest neighbours (Å) after each atom.
Space group Cmcm (No. 63)
One atom of each set of equivalent atoms:
Dy 0.0000 0.0498 0.2500 (multiplicity 4)  8 Si 2.94-3.10
Dy 0.0000 0.2243 0.7500 (multiplicity 4)  6 Si 2.96-3.00
Si 0.0000 0.4032 0.0553 (multiplicity 8)  2 Si 2.46-2.58


No. 10
Material: Dy5Si6
Method: DFT, PBE
State: optimized geometry

## Properties
Its total magnetic moment is 0.00 μB per formula unit. The calculation puts the energy relative to the elements, uncorrected at -0.78 eV/atom. For the total energy, the calculation gives -5.825 eV per atom.

a b c (Å): 3.8414 28.1362 4.2495
angles (deg): 90.00 90.00 90.00
With the nearest neighbours (Å) after each atom.
Space group Cmmm (No. 65)
One atom of each set of equivalent atoms:
Dy 0.0000 0.0000 0.0000 (multiplicity 2)  12 Si 3.09-3.39
Dy 0.0000 0.1971 0.5000 (multiplicity 4)  7 Si 2.90-3.12
Dy 0.0000 0.3860 0.0000 (multiplicity 4)  7 Si 2.92-3.03
Si 0.0000 0.0939 0.5000 (multiplicity 4)  2 Si 2.42
Si 0.0000 0.2783 0.0000 (multiplicity 4)  2 Si 2.49
Si 0.0000 0.4587 0.5000 (multiplicity 4)  3 Si 2.33-2.42


No. 11
Material: Dy3Si
Method: DFT, PBE
State: optimized geometry

## Properties
Its total magnetic moment is 0.00 μB per formula unit. The calculation puts the energy relative to the elements, uncorrected at -0.30 eV/atom. The value obtained for the energy above the lowest structure with this stoichiometry is 0.0 meV/atom. For the total energy, the calculation gives -5.111 eV per atom.

a b c (Å): 3.8494 5.0046 10.9918
angles (deg): 90.00 90.00 90.00
With the nearest neighbours (Å) after each atom.
Space group Immm (No. 71)
One atom of each set of equivalent atoms:
Dy 0.0000 0.0000 0.0000 (multiplicity 2)  4 Si 3.16, 4 Dy 3.37
Dy 0.0000 0.5000 0.2053 (multiplicity 4)  2 Si 2.97, 4 Dy 3.31
Si 0.0000 0.0000 0.5000 (multiplicity 2)  8 Dy 2.97-3.16


Please write out number 2 again, unchanged.
Material: Dy3ZrSe6
Method: DFT, PBE
State: optimized geometry

## Properties
Its total magnetic moment is 1.03 μB per formula unit. The calculation puts the energy relative to the elements, uncorrected at -1.65 eV/atom. For the total energy, the calculation gives -5.976 eV per atom.

a b c (Å): 11.8451 11.8451 14.0237
angles (deg): 90.00 90.00 120.00
With the nearest neighbours (Å) after each atom.
Space group R-3 (No. 148, hexagonal axes)
One atom of each set of equivalent atoms:
Dy 0.0564 0.2741 0.1966 (multiplicity 18)  6 Se 2.81-2.94
Zr 0.0000 0.0000 0.0000 (multiplicity 3)  6 Se 2.71
Zr 0.0000 0.0000 0.5000 (multiplicity 3)  6 Se 2.75
Se 0.0190 0.2042 0.3940 (multiplicity 18)  1 Zr 2.75, 3 Dy 2.86-2.94
Se 0.0340 0.1961 0.8823 (multiplicity 18)  1 Zr 2.71, 3 Dy 2.81-2.94


Q: What is the energy relative to the elements, uncorrected in the eighth record?
A: -0.79 eV/atom


Q: The highest total energy belongs to which entry?
A: DyZnSe2